Record 1
This record from OQMD describes a geometry-optimized ThMgW structure. The functional is GGA-PBE.

Mass density: 9.68 g/cm3
Calculated volume: 25.168 A^3/atom
Total DFT energy (no corrections): -19.26 eV per formula unit
Energy relative to the lowest polymorph listed for this composition: 0 meV per atom
Spin magnetization: 0.01 μB per formula unit

Unit cell a=6.709 b=6.709 c=6.709 alpha=90.00 beta=90.00 gamma=90.00
Space group F-43m (No. 216)
Symmetry-distinct sites (fractional):
1 Th 0.000 0.000 0.000 x4
2 Mg 0.000 0.000 0.500 x4
3 W 0.250 0.250 0.250 x4

Record 2
This record from OQMD describes a geometry-optimized ThMgZr structure. The functional is GGA-PBE.

Mass density: 6.52 g/cm3
Calculated volume: 29.487 A^3/atom
Total DFT energy (no corrections): -15.48 eV per formula unit
Energy relative to the lowest polymorph listed for this composition: 0 meV per atom
Spin magnetization: 0.10 μB per formula unit

Unit cell a=7.073 b=7.073 c=7.073 alpha=90.00 beta=90.00 gamma=90.00
Space group F-43m (No. 216)
Symmetry-distinct sites (fractional):
1 Th 0.000 0.000 0.000 x4
2 Mg 0.250 0.250 0.250 x4
3 Zr 0.000 0.000 0.500 x4

Record 3
This record from OQMD describes a geometry-optimized TmMgTl structure. The functional is GGA-PBE.

Mass density: 8.89 g/cm3
Calculated volume: 24.757 A^3/atom
Total DFT energy (no corrections): -9.25 eV per formula unit
Spin magnetization: 0.00 μB per formula unit

Unit cell a=7.4568 b=7.4568 c=4.6270 alpha=90.00 beta=90.00 gamma=120.00
Space group P-62m (No. 189)
Symmetry-distinct sites (fractional):
1 Tm 0.0000 0.5673 0.0000 x3
2 Mg 0.0000 0.2428 0.5000 x3
3 Tl 0.0000 0.0000 0.0000 x1
4 Tl 0.3333 0.6667 0.5000 x2

Record 4
This record from OQMD describes a geometry-optimized TmMgTl structure. The functional is GGA-PBE.

Mass density: 7.33 g/cm3
Calculated volume: 30.014 A^3/atom
Total DFT energy (no corrections): -7.57 eV per formula unit
Spin magnetization: 0.00 μB per formula unit

Unit cell a=7.115 b=7.115 c=7.115 alpha=90.00 beta=90.00 gamma=90.00
Space group F-43m (No. 216)
Symmetry-distinct sites (fractional):
1 Tm 0.000 0.000 0.000 x4
2 Mg 0.250 0.250 0.750 x4
3 Tl 0.250 0.250 0.250 x4

Record 5
This record from OQMD describes a geometry-optimized TmMgTl structure. The functional is GGA-PBE.

Mass density: 7.86 g/cm3
Calculated volume: 28.009 A^3/atom
Total DFT energy (no corrections): -8.80 eV per formula unit
Spin magnetization: 0.00 μB per formula unit

Unit cell a=6.953 b=6.953 c=6.953 alpha=90.00 beta=90.00 gamma=90.00
Space group F-43m (No. 216)
Symmetry-distinct sites (fractional):
1 Tm 0.000 0.000 0.000 x4
2 Mg 0.000 0.000 0.500 x4
3 Tl 0.250 0.250 0.750 x4

Record 6
This record from OQMD describes a geometry-optimized Y2TmMg3Tl2Zn structure. The functional is GGA-PBE.

Mass density: 6.75 g/cm3
Calculated volume: 24.445 A^3/atom
Total DFT energy (no corrections): -30.97 eV per formula unit
Spin magnetization: 0.00 μB per formula unit

Unit cell a=4.529 b=12.911 c=7.525 alpha=90.00 beta=90.00 gamma=90.00
Space group Amm2 (No. 38)
Symmetry-distinct sites (fractional):
1 Y 0.000 0.208 0.000 x4
2 Tm 0.000 0.000 0.624 x2
3 Mg 0.500 0.000 0.974 x2
4 Mg 0.500 0.118 0.327 x4
5 Tl 0.500 0.165 0.708 x4
6 Zn 0.000 0.000 0.213 x2

Record 7
This record from OQMD describes a geometry-optimized Tm3Mg3TlZn2 structure. The functional is GGA-PBE.

Mass density: 7.30 g/cm3
Calculated volume: 23.113 A^3/atom
Total DFT energy (no corrections): -25.10 eV per formula unit
Spin magnetization: 0.01 μB per formula unit

Unit cell a=7.3248 b=7.3248 c=4.4768 alpha=90.00 beta=90.00 gamma=120.00
Space group P-62m (No. 189)
Symmetry-distinct sites (fractional):
1 Tm 0.0000 0.5736 0.0000 x3
2 Mg 0.0000 0.2518 0.5000 x3
3 Tl 0.0000 0.0000 0.0000 x1
4 Zn 0.3333 0.6667 0.5000 x2

Record 8
This record from OQMD describes a geometry-optimized Mg6TlZn structure. The functional is GGA-PBE.

Mass density: 4.02 g/cm3
Calculated volume: 21.471 A^3/atom
Total DFT energy (no corrections): -12.86 eV per formula unit

Unit cell a=5.552 b=5.562 c=5.567 alpha=88.67 beta=88.58 gamma=88.72
Space group P-1 (No. 2)
Symmetry-distinct sites (fractional):
1 Mg 0.002 0.008 0.246 x2
2 Mg 0.246 0.503 0.509 x2
3 Mg 0.491 0.254 0.998 x2
4 Tl 0.500 0.000 0.500 x1
5 Zn 0.000 0.500 0.000 x1